Entry 1:
A plane-wave DFT calculation with GGA-PBEsol was carried out for a relaxed HgRhAu4 crystal.

CIF file:
```
data_HgRhAu4
_cell_length_a 7.562
_cell_length_b 7.562
_cell_length_c 7.562
_cell_angle_alpha 90.00
_cell_angle_beta 90.00
_cell_angle_gamma 90.00
_space_group_name_H-M_alt 'F -4 3 m'
_space_group_IT_number 216
_space_group_name_Hall 'F -4 2 3'
loop_
_atom_site_label
_atom_site_type_symbol
_atom_site_fract_x
_atom_site_fract_y
_atom_site_fract_z
Hg1 Hg 0.000 0.000 0.000
Rh1 Rh 0.250 0.250 0.250
Au1 Au 0.125 0.125 0.625
```

## Properties
As for the crystal system: cubic.

---

Entry 2:
A plane-wave DFT calculation with GGA-PBEsol was carried out for a relaxed Sc3BeAs crystal.

CIF file:
```
data_Sc3BeAs
_cell_length_a 4.933
_cell_length_b 4.933
_cell_length_c 4.933
_cell_angle_alpha 90.00
_cell_angle_beta 90.00
_cell_angle_gamma 90.00
_space_group_name_H-M_alt 'P m -3 m'
_space_group_IT_number 221
_space_group_name_Hall '-P 4 2 3'
loop_
_atom_site_label
_atom_site_type_symbol
_atom_site_fract_x
_atom_site_fract_y
_atom_site_fract_z
Sc1 Sc 0.000 0.000 0.500
Be1 Be 0.500 0.500 0.500
As1 As 0.000 0.000 0.000
```

## Properties
As for the crystal system: cubic.

---

| no. | total DFT energy (no corrections) (eV per atom) | total moment (μB/cell) | density (g/cm³) |
| --- | --- | --- | --- |
| 1 | -3.710 | 0.00 | 16.76 |
| 2 | -5.745 | 0.00 | 3.03 |